A relaxed Ac2NiIrO8 crystal. Source: the Alexandria database, functional PBE+U.

The space group is P-1 (No. 2) and the conventional cell measures 4.369, 5.441 and 7.218 Å, with angles of 84.13, 87.62 and 83.45 degrees. Symmetry generates all atoms from Ac at (0.199, 0.016, 0.241), Ni at (0.500, 0.500, 0.000), Ir at (0.500, 0.500, 0.500), O at (0.198, 0.756, 0.559), O at (0.280, 0.250, 0.626), O at (0.294, 0.820, 0.942) and O at (0.301, 0.484, 0.262).

The volume comes out at 169.5 Å³ per cell. As for the uncorrected energy: -80.19 eV/f.u. The magnetization is 2.242 μB/f.u.


A relaxed Ac2NiIrO6 crystal. Source: the Alexandria database, functional PBE+U.

The space group is P2_1/c (No. 14) and the conventional cell measures 5.737, 5.722 and 9.909 Å, with angles of 90.00, 125.28 and 90.00 degrees. Symmetry generates all atoms from Ac at (0.244, 0.035, 0.250), Ni at (0.000, 0.000, 0.500), Ir at (0.500, 0.000, 0.000), O at (0.181, 0.213, 0.962), O at (0.249, 0.719, 0.962) and O at (0.323, 0.009, 0.752).

The volume comes out at 265.5 Å³ per cell. As for the uncorrected energy: -70.92 eV/f.u. The magnetization is 3.057 μB/f.u.